P.
A relaxed structure of BaReAg3. Source: Alexandria, functional PBE.

Calculated values
The size of the total moment comes out at 2.26 μB/cell. The symmetry is No. 221.

a = 5.217 Å, b = 5.217 Å, c = 5.217 Å
α = 90.00°, β = 90.00°, γ = 90.00°
Site moments in Bohr magnetons follow the coordinates.
Fractional coordinates of all 5 atoms:
Ba: 0.500 0.500 0.500  0.00
Ag: 0.000 0.000 0.500  0.16
Ag: 0.500 0.000 0.000  0.05
Re: 0.000 0.000 0.000  1.67
Ag: 0.000 0.500 0.000  0.09

=====

Q.
A relaxed structure of BaReAg3. Source: Alexandria, functional PBE.

Calculated values
The size of the total moment comes out at 5.54 μB/cell. The symmetry is No. 221.

a = 6.014 Å, b = 6.014 Å, c = 6.014 Å
α = 90.00°, β = 90.00°, γ = 90.00°
Site moments in Bohr magnetons follow the coordinates.
Fractional coordinates of all 5 atoms:
Ag: 0.000 0.000 0.500  0.05
Ag: 0.000 0.500 0.000  0.02
Ag: 0.500 0.000 0.000  0.05
Ba: 0.000 0.000 0.000  0.03
Re: 0.500 0.500 0.500  4.18

=====

What should be chosen as the least stable of them? Choose Q.

=====

P.
A relaxed structure of BaRe3Ag. Source: Alexandria, functional PBE.

Calculated values
The size of the total moment comes out at 6.03 μB/cell. The symmetry is No. 221.

a = 4.997 Å, b = 4.997 Å, c = 4.997 Å
α = 90.00°, β = 90.00°, γ = 90.00°
Site moments in Bohr magnetons follow the coordinates.
Fractional coordinates of all 5 atoms:
Re: 0.500 0.000 0.000  1.22
Ba: 0.500 0.500 0.500  0.05
Re: 0.000 0.500 0.000  1.70
Re: 0.000 0.000 0.500  1.92
Ag: 0.000 0.000 0.000  0.21

=====

Q.
A relaxed structure of BaRe3Ag. Source: Alexandria, functional PBE.

Calculated values
The size of the total moment comes out at 3.85 μB/cell. The symmetry is No. 221.

a = 5.006 Å, b = 5.006 Å, c = 5.006 Å
α = 90.00°, β = 90.00°, γ = 90.00°
Site moments in Bohr magnetons follow the coordinates.
Fractional coordinates of all 5 atoms:
Re: 0.000 0.000 0.500  1.09
Ag: 0.500 0.500 0.500  0.03
Ba: 0.000 0.000 0.000  0.02
Re: 0.000 0.500 0.000  1.15
Re: 0.500 0.000 0.000  1.15

=====

What should be chosen as the least stable of them? Choose Q.

=====

P.
A relaxed structure of BaAgRh. Source: Alexandria, functional PBE.

Calculated values
The size of the total moment comes out at 0.00 μB/cell. The symmetry is No. 216.

a = 4.895 Å, b = 4.895 Å, c = 4.895 Å
α = 60.00°, β = 60.00°, γ = 60.00°
Fractional coordinates of all 3 atoms:
Ag: 0.000 0.000 0.000
Ba: 0.500 0.500 0.500
Rh: 0.250 0.250 0.250

=====

Q.
A relaxed structure of BaAgRh. Source: Alexandria, functional PBE.

Calculated values
The size of the total moment comes out at 0.00 μB/cell. The symmetry is No. 216.

a = 5.007 Å, b = 5.007 Å, c = 5.007 Å
α = 60.00°, β = 60.00°, γ = 60.00°
Fractional coordinates of all 3 atoms:
Rh: 0.000 0.000 0.000
Ba: 0.250 0.250 0.250
Ag: 0.500 0.500 0.500

=====

R.
A relaxed structure of BaAgRh. Source: Alexandria, functional PBE.

Calculated values
The size of the total moment comes out at 0.00 μB/cell. The symmetry is No. 107.

a = 5.990 Å, b = 5.990 Å, c = 5.990 Å
α = 143.62°, β = 143.62°, γ = 52.40°
Fractional coordinates of all 3 atoms:
Ag: 0.957 0.957 0.000
Ba: 0.670 0.670 0.000
Rh: 0.373 0.373 0.000

=====

What should be chosen as the least stable of them? Choose Q.

=====

P.
A relaxed structure of BaAg2Rh2. Source: Alexandria, functional PBE.

Calculated values
The size of the total moment comes out at 0.50 μB/cell. The symmetry is No. 127.

a = 7.970 Å, b = 7.970 Å, c = 3.190 Å
α = 90.00°, β = 90.00°, γ = 90.00°
Site moments in Bohr magnetons follow the coordinates.
Fractional coordinates of all 10 atoms:
Rh: 0.882 0.618 0.000  0.14
Ag: 0.673 0.827 0.500  0.01
Ba: 0.500 0.500 0.000  -0.01
Ag: 0.827 0.327 0.500  0.00
Ba: 0.000 0.000 0.000  -0.01
Rh: 0.118 0.382 0.000  0.14
Ag: 0.173 0.673 0.500  0.00
Rh: 0.618 0.118 0.000  0.12
Ag: 0.327 0.173 0.500  0.01
Rh: 0.382 0.882 0.000  0.12

=====

Q.
A relaxed structure of BaAg2Rh2. Source: Alexandria, functional PBE.

Calculated values
The size of the total moment comes out at 0.38 μB/cell. The symmetry is No. 139.

a = 4.570 Å, b = 4.570 Å, c = 6.303 Å
α = 68.75°, β = 68.75°, γ = 90.00°
Site moments in Bohr magnetons follow the coordinates.
Fractional coordinates of all 5 atoms:
Ag: 0.750 0.250 0.500  0.01
Ba: 0.000 0.000 0.000  -0.01
Ag: 0.250 0.750 0.500  0.01
Rh: 0.612 0.612 0.777  0.18
Rh: 0.388 0.388 0.223  0.18

=====

What should be chosen as the least stable of them? Choose P.

=====

P.
A relaxed structure of Ba4Ag2Rh. Source: Alexandria, functional PBE.

Calculated values
The size of the total moment comes out at 0.00 μB/cell. The symmetry is No. 12.

a = 4.774 Å, b = 6.974 Å, c = 10.122 Å
α = 121.35°, β = 103.64°, γ = 90.00°
Fractional coordinates of all 7 atoms:
Ba: 0.151 0.478 0.301
Ba: 0.849 0.522 0.699
Ba: 0.579 0.891 0.158
Ag: 0.238 0.100 0.475
Rh: 0.000 0.000 0.000
Ba: 0.421 0.109 0.842
Ag: 0.762 0.900 0.525

=====

Q.
A relaxed structure of Ba4Ag2Rh. Source: Alexandria, functional PBE.

Calculated values
The size of the total moment comes out at 0.00 μB/cell. The symmetry is No. 139.

a = 5.813 Å, b = 5.813 Å, c = 9.698 Å
α = 107.44°, β = 107.44°, γ = 90.00°
Fractional coordinates of all 7 atoms:
Ba: 0.000 0.500 0.000
Rh: 0.000 0.000 0.000
Ag: 0.625 0.625 0.251
Ba: 0.500 0.000 0.000
Ba: 0.820 0.820 0.641
Ba: 0.180 0.180 0.359
Ag: 0.375 0.375 0.749

=====

What should be chosen as the least stable of them? Choose Q.

=====

P.
A relaxed structure of Ba6AgRh2. Source: Alexandria, functional PBE.

Calculated values
The size of the total moment comes out at 0.00 μB/cell. The symmetry is No. 12.

a = 6.061 Å, b = 8.131 Å, c = 10.479 Å
α = 116.30°, β = 90.00°, γ = 111.88°
Fractional coordinates of all 9 atoms:
Ba: 0.701 0.402 0.086
Ba: 0.299 0.598 0.914
Ba: 0.982 0.963 0.800
Ba: 0.343 0.687 0.407
Ba: 0.018 0.037 0.200
Rh: 0.180 0.359 0.107
Ag: 0.000 0.000 0.500
Ba: 0.657 0.313 0.593
Rh: 0.820 0.641 0.893

=====

Q.
A relaxed structure of Ba6AgRh2. Source: Alexandria, functional PBE.

Calculated values
The size of the total moment comes out at 0.00 μB/cell. The symmetry is No. 162.

a = 7.662 Å, b = 7.879 Å, c = 7.879 Å
α = 119.98°, β = 90.02°, γ = 90.02°
Fractional coordinates of all 9 atoms:
Ba: 0.273 0.351 0.351
Ba: 0.273 0.000 0.650
Ag: 0.000 0.000 0.000
Ba: 0.727 0.649 0.649
Rh: 0.500 0.667 0.333
Ba: 0.727 0.000 0.350
Ba: 0.727 0.350 0.000
Rh: 0.500 0.333 0.667
Ba: 0.273 0.650 0.000

=====

What should be chosen as the least stable of them? Choose P.

=====

P.
A relaxed structure of BaAg3S. Source: Alexandria, functional PBE.

Calculated values
The size of the total moment comes out at 0.00 μB/cell. The symmetry is No. 221.

a = 5.129 Å, b = 5.129 Å, c = 5.129 Å
α = 90.00°, β = 90.00°, γ = 90.00°
Fractional coordinates of all 5 atoms:
Ag: 0.500 0.000 0.000
Ag: 0.000 0.000 0.500
Ba: 0.500 0.500 0.500
Ag: 0.000 0.500 0.000
S: 0.000 0.000 0.000

=====

Q.
A relaxed structure of BaAg3S. Source: Alexandria, functional PBE.

Calculated values
The size of the total moment comes out at 0.01 μB/cell. The symmetry is No. 221.

a = 5.956 Å, b = 5.956 Å, c = 5.956 Å
α = 90.00°, β = 90.00°, γ = 90.00°
Fractional coordinates of all 5 atoms:
Ag: 0.000 0.000 0.500
Ba: 0.000 0.000 0.000
Ag: 0.500 0.000 0.000
S: 0.500 0.500 0.500
Ag: 0.000 0.500 0.000

=====

What should be chosen as the least stable of them? Choose Q.

=====

P.
A relaxed structure of BaAgSbS3. Source: Alexandria, functional PBE.

Calculated values
The size of the total moment comes out at 0.00 μB/cell. The symmetry is No. 15.

a = 6.259 Å, b = 6.259 Å, c = 17.454 Å
α = 81.81°, β = 81.81°, γ = 81.67°
Fractional coordinates of all 24 atoms:
S: 0.699 0.576 0.080
S: 0.301 0.424 0.920
Ba: 0.553 0.794 0.388
Ag: 0.708 0.292 0.250
Sb: 0.969 0.689 0.579
Ag: 0.080 0.920 0.250
S: 0.066 0.970 0.106
Ag: 0.920 0.080 0.750
S: 0.499 0.032 0.213
Ba: 0.206 0.447 0.112
Ag: 0.292 0.708 0.750
Sb: 0.689 0.969 0.079
S: 0.501 0.968 0.787
Sb: 0.311 0.031 0.921
Sb: 0.031 0.311 0.421
Ba: 0.794 0.553 0.888
Ba: 0.447 0.206 0.612
S: 0.424 0.301 0.420
S: 0.576 0.699 0.580
S: 0.970 0.066 0.606
S: 0.934 0.030 0.894
S: 0.968 0.501 0.287
S: 0.030 0.934 0.394
S: 0.032 0.499 0.713

=====

Q.
A relaxed structure of BaAgSbS3. Source: Alexandria, functional PBE.

Calculated values
The size of the total moment comes out at 0.00 μB/cell. The symmetry is No. 11.

a = 4.156 Å, b = 8.440 Å, c = 9.262 Å
α = 105.84°, β = 90.00°, γ = 90.00°
Fractional coordinates of all 12 atoms:
Ba: 0.750 0.795 0.748
S: 0.750 0.244 0.519
Sb: 0.750 0.324 0.852
S: 0.250 0.553 0.853
S: 0.750 0.447 0.147
Ag: 0.750 0.905 0.406
Ba: 0.250 0.205 0.252
S: 0.750 0.888 0.120
Ag: 0.250 0.095 0.594
Sb: 0.250 0.676 0.148
S: 0.250 0.112 0.880
S: 0.250 0.756 0.481

=====

What should be chosen as the least stable of them? Choose Q.

=====

P.
A relaxed structure of BaAg3Sb. Source: Alexandria, functional PBE.

Calculated values
The size of the total moment comes out at 0.00 μB/cell. The symmetry is No. 221.

a = 5.385 Å, b = 5.385 Å, c = 5.385 Å
α = 90.00°, β = 90.00°, γ = 90.00°
Fractional coordinates of all 5 atoms:
Ag: 0.000 0.000 0.500
Ag: 0.500 0.000 0.000
Ba: 0.500 0.500 0.500
Sb: 0.000 0.000 0.000
Ag: 0.000 0.500 0.000

=====

Q.
A relaxed structure of BaAg3Sb. Source: Alexandria, functional PBE.

Calculated values
The size of the total moment comes out at 0.00 μB/cell. The symmetry is No. 221.

a = 5.808 Å, b = 5.808 Å, c = 5.808 Å
α = 90.00°, β = 90.00°, γ = 90.00°
Fractional coordinates of all 5 atoms:
Sb: 0.500 0.500 0.500
Ag: 0.000 0.000 0.500
Ba: 0.000 0.000 0.000
Ag: 0.500 0.000 0.000
Ag: 0.000 0.500 0.000

=====

What should be chosen as the least stable of them? Choose Q.

=====

P.
A relaxed structure of BaAgSb3. Source: Alexandria, functional PBE.

Calculated values
The size of the total moment comes out at 0.00 μB/cell. The symmetry is No. 221.

a = 5.506 Å, b = 5.506 Å, c = 5.506 Å
α = 90.00°, β = 90.00°, γ = 90.00°
Fractional coordinates of all 5 atoms:
Sb: 0.000 0.000 0.500
Sb: 0.000 0.500 0.000
Ba: 0.500 0.500 0.500
Ag: 0.000 0.000 0.000
Sb: 0.500 0.000 0.000

=====

Q.
A relaxed structure of BaAgSb3. Source: Alexandria, functional PBE.

Calculated values
The size of the total moment comes out at 0.00 μB/cell. The symmetry is No. 4.

a = 6.563 Å, b = 7.368 Å, c = 6.709 Å
α = 89.96°, β = 90.00°, γ = 90.00°
Fractional coordinates of all 10 atoms:
Ag: 0.118 0.776 0.701
Sb: 0.481 0.865 0.936
Ag: 0.618 0.577 0.201
Ba: 0.989 0.949 0.200
Sb: 0.981 0.488 0.965
Sb: 0.309 0.312 0.201
Ba: 0.489 0.404 0.701
Sb: 0.481 0.865 0.465
Sb: 0.981 0.488 0.437
Sb: 0.809 0.041 0.700

=====

R.
A relaxed structure of BaAgSb3. Source: Alexandria, functional PBE.

Calculated values
The size of the total moment comes out at 0.00 μB/cell. The symmetry is No. 221.

a = 6.279 Å, b = 6.279 Å, c = 6.279 Å
α = 90.00°, β = 90.00°, γ = 90.00°
Fractional coordinates of all 5 atoms:
Sb: 0.000 0.000 0.500
Ag: 0.500 0.500 0.500
Sb: 0.500 0.000 0.000
Ba: 0.000 0.000 0.000
Sb: 0.000 0.500 0.000

=====

What should be chosen as the least stable of them? Choose R.

=====

P.
A relaxed structure of Ba2AgSb2. Source: Alexandria, functional PBE.

Calculated values
The size of the total moment comes out at 0.00 μB/cell. The symmetry is No. 127.

a = 10.108 Å, b = 10.108 Å, c = 3.749 Å
α = 90.00°, β = 90.00°, γ = 90.00°
Fractional coordinates of all 10 atoms:
Sb: 0.336 0.164 0.500
Ba: 0.863 0.637 0.000
Ag: 0.000 0.000 0.000
Ba: 0.363 0.863 0.000
Sb: 0.836 0.336 0.500
Sb: 0.164 0.664 0.500
Ba: 0.637 0.137 0.000
Ag: 0.500 0.500 0.000
Sb: 0.664 0.836 0.500
Ba: 0.137 0.363 0.000

=====

Q.
A relaxed structure of Ba2AgSb2. Source: Alexandria, functional PBE.

Calculated values
The size of the total moment comes out at 0.72 μB/cell. The symmetry is No. 127.

a = 8.308 Å, b = 8.308 Å, c = 5.122 Å
α = 90.00°, β = 90.00°, γ = 90.00°
Fractional coordinates of all 10 atoms:
Ag: 0.500 0.500 0.000
Ba: 0.322 0.178 0.500
Sb: 0.375 0.875 0.000
Ag: 0.000 0.000 0.000
Sb: 0.625 0.125 0.000
Sb: 0.125 0.375 0.000
Ba: 0.822 0.322 0.500
Ba: 0.678 0.822 0.500
Sb: 0.875 0.625 0.000
Ba: 0.178 0.678 0.500

=====

What should be chosen as the least stable of them? Choose P.